(1)
Crystalline La2AlZn at its relaxed geometry, computed with PBE.

The structure belongs to space group Pmm2 (No. 25); the cell edges are 3.7698, 5.3294 and 5.3741 Å and the angles 90.00°, 90.00° and 90.00°. The asymmetric unit holds La at (0.0000, 0.0000, 0.0000), La at (0.0000, 0.5000, 0.4661), Al at (0.5000, 0.0000, 0.5062) and Zn at (0.5000, 0.5000, 0.9540).

The formation energy is -0.3325 eV/atom. The calculation puts the calculated total energy at -16.20 eV/f.u. Its crystal system is orthorhombic.


(2)
Crystalline LaAlZn2 at its relaxed geometry, computed with PBE.

The structure belongs to space group Amm2 (No. 38); the cell edges are 6.7539, 4.6832 and 10.6020 Å and the angles 90.00°, 90.00° and 90.00°. The asymmetric unit holds La at (0.0000, 0.0000, 0.0000), La at (0.5000, 0.0000, 0.2023), Al at (0.1940, 0.0000, 0.7180), Zn at (0.0000, 0.0000, 0.3002), Zn at (0.3104, 0.0000, 0.4806) and Zn at (0.5000, 0.0000, 0.8990).

The formation energy is -0.3693 eV/atom. The calculation puts the calculated total energy at -12.70 eV/f.u. Its crystal system is orthorhombic.


(3)
Crystalline La2AlZn at its relaxed geometry, computed with PBE.

The structure belongs to space group C2/m (No. 12); the cell edges are 9.6615, 3.8148 and 6.6053 Å and the angles 90.00°, 103.43° and 90.00°. The asymmetric unit holds La at (0.2497, 0.0000, 0.2476), Al at (0.0000, 0.0000, 0.5000) and Zn at (0.0000, 0.5000, 0.0000).

The formation energy is -0.0771 eV/atom. The calculation puts the calculated total energy at -15.18 eV/f.u. Its crystal system is monoclinic.


Number 1: DOS(E_F) 4.18 states/eV/cell. Number 2: DOS(E_F) 4.54 states/eV/cell. Number 3: DOS(E_F) 9.19 states/eV/cell.